(1)
VASP calculation (PBE) on a relaxed structure of Nd2DyY.

Computed properties:
- volume (Å³/cell) = 403
- electronic total energy (eV/cell) = -61.62
- ΔH_f (0 K) (meV/atom) = 15
- symmetry = R3m, No. 160

extended XYZ file:
```
12
Lattice="3.637 0.000 0.000 -1.818 3.149 0.000 0.000 0.000 35.184" Properties=species:S:1:pos:R:3 pbc="T T T"
Nd 0.000 0.000 0.000
Nd 0.000 0.000 5.868
Nd 0.000 2.100 23.456
Nd 0.000 2.100 29.324
Nd 1.818 1.050 11.728
Nd 1.818 1.050 17.596
Dy 0.000 0.000 20.549
Dy 0.000 2.100 8.821
Dy 1.818 1.050 32.277
Y 0.000 0.000 14.663
Y 0.000 2.100 2.935
Y 1.818 1.050 26.391
```

=====

(2)
VASP calculation (PBE) on a relaxed structure of NdDy5Y7.

Computed properties:
- volume (Å³/cell) = 435
- electronic total energy (eV/cell) = -69.94
- ΔH_f (0 K) (meV/atom) = 238
- symmetry = Imm2, No. 44

extended XYZ file:
```
13
Lattice="-3.347 5.579 5.817 3.347 -5.579 5.817 3.347 5.579 -5.817" Properties=species:S:1:pos:R:3 pbc="T T T"
Nd 0.000 0.000 0.000
Dy 1.560 2.560 -2.286
Dy 5.135 2.560 -2.286
Dy 3.347 0.000 3.598
Dy -1.787 3.019 3.531
Dy 1.787 3.019 3.531
Y 3.347 1.883 0.646
Y 0.000 0.000 3.519
Y 0.000 3.662 0.643
Y 0.000 0.000 7.115
Y 0.000 7.496 0.643
Y 0.000 5.579 3.521
Y 0.000 3.696 6.463
```

=====

(3)
VASP calculation (PBE) on a relaxed structure of Nd2Dy15Y2.

Computed properties:
- volume (Å³/cell) = 640
- electronic total energy (eV/cell) = -86.29
- ΔH_f (0 K) (meV/atom) = 274
- symmetry = R-3m, No. 166

extended XYZ file:
```
19
Lattice="5.624 3.247 5.840 -5.624 3.247 5.840 0.000 -6.494 5.840" Properties=species:S:1:pos:R:3 pbc="T T T"
Nd 0.000 0.000 3.031
Nd 0.000 0.000 14.490
Dy -2.812 -1.624 5.840
Dy 0.000 -3.359 5.335
Dy -2.909 1.679 5.335
Dy -1.674 -2.900 8.760
Dy -3.349 0.000 8.760
Dy -2.909 -1.679 12.186
Dy -2.812 1.624 11.680
Dy 1.674 -2.900 8.760
Dy 0.000 3.247 5.840
Dy -1.674 2.900 8.760
Dy 2.909 1.679 5.335
Dy 3.349 0.000 8.760
Dy 1.674 2.900 8.760
Dy 2.909 -1.679 12.186
Dy 0.000 3.359 12.186
Y 0.000 0.000 7.054
Y 0.000 0.000 10.466
```

=====

(4)
VASP calculation (PBE) on a relaxed structure of Nd4Dy6Y.

Computed properties:
- volume (Å³/cell) = 391
- electronic total energy (eV/cell) = -48.34
- ΔH_f (0 K) (meV/atom) = 437
- symmetry = I-42m, No. 121

extended XYZ file:
```
11
Lattice="-3.856 3.856 6.575 3.856 -3.856 6.575 3.856 3.856 -6.575" Properties=species:S:1:pos:R:3 pbc="T T T"
Nd 2.509 2.509 -1.004
Nd 1.347 -1.347 7.579
Nd 1.347 1.347 5.571
Nd -1.347 1.347 7.579
Dy 3.856 0.000 0.000
Dy 1.987 -1.987 4.146
Dy 1.870 1.870 2.429
Dy 0.000 3.856 0.000
Dy -1.987 1.987 4.146
Dy 1.987 1.987 9.004
Y 0.000 0.000 0.000
```

=====

(5)
VASP calculation (PBE) on a relaxed structure of Nd4Dy3Y2.

Computed properties:
- volume (Å³/cell) = 300
- electronic total energy (eV/cell) = -45.64
- ΔH_f (0 K) (meV/atom) = 19
- symmetry = C2/m, No. 12

extended XYZ file:
```
9
Lattice="7.659 -2.554 0.000 7.659 2.554 0.000 -2.551 0.000 7.670" Properties=species:S:1:pos:R:3 pbc="T T T"
Nd 2.540 0.000 0.007
Nd 2.553 0.000 5.105
Nd 10.214 0.000 2.565
Nd 10.227 0.000 7.663
Dy 5.126 0.000 2.551
Dy 7.659 0.000 0.000
Dy 7.641 0.000 5.119
Y -0.019 0.000 2.567
Y 12.786 0.000 5.102
```

=====

(6)
VASP calculation (PBE) on a relaxed structure of Nd5Dy6Y2.

Computed properties:
- volume (Å³/cell) = 872
- electronic total energy (eV/cell) = -126.37
- ΔH_f (0 K) (meV/atom) = 92
- symmetry = Pbam, No. 55

extended XYZ file:
```
26
Lattice="11.733 0.000 0.000 0.000 20.601 0.000 0.000 0.000 3.608" Properties=species:S:1:pos:R:3 pbc="T T T"
Nd 0.000 0.000 0.000
Nd 1.040 5.652 0.000
Nd 2.336 11.350 0.000
Nd 3.530 1.049 0.000
Nd 4.826 15.953 0.000
Nd 5.866 10.301 0.000
Nd 6.907 4.648 0.000
Nd 8.203 19.552 0.000
Nd 9.396 9.251 0.000
Nd 10.692 14.949 0.000
Dy 0.712 8.643 1.804
Dy 0.944 2.732 1.804
Dy 2.055 17.805 0.000
Dy 3.812 7.504 0.000
Dy 4.922 13.033 1.804
Dy 5.154 18.944 1.804
Dy 6.579 1.657 1.804
Dy 6.811 7.569 1.804
Dy 7.921 13.097 0.000
Dy 9.678 2.797 0.000
Dy 10.788 17.870 1.804
Dy 11.020 11.958 1.804
Y 1.979 14.665 1.804
Y 3.887 4.365 1.804
Y 7.845 16.237 1.804
Y 9.753 5.936 1.804
```

=====

(7)
VASP calculation (PBE) on a relaxed structure of Nd2Dy3Y8.

Computed properties:
- volume (Å³/cell) = 444
- electronic total energy (eV/cell) = -71.90
- ΔH_f (0 K) (meV/atom) = 243
- symmetry = Cmmm, No. 65

extended XYZ file:
```
13
Lattice="3.820 -10.347 0.000 3.820 10.347 0.000 0.000 0.000 5.614" Properties=species:S:1:pos:R:3 pbc="T T T"
Nd 3.820 5.360 0.000
Nd 3.820 -5.360 0.000
Dy 0.000 0.000 0.000
Dy 2.180 0.000 2.807
Dy 5.460 0.000 2.807
Y 3.820 7.649 2.807
Y 2.195 2.191 0.000
Y 3.820 3.405 2.807
Y 2.195 -2.191 0.000
Y 5.445 2.191 0.000
Y 3.820 -3.405 2.807
Y 5.445 -2.191 0.000
Y 3.820 -7.649 2.807
```

=====

(8)
VASP calculation (PBE) on a relaxed structure of Nd2DyY6.

Computed properties:
- volume (Å³/cell) = 589
- electronic total energy (eV/cell) = -104.11
- ΔH_f (0 K) (meV/atom) = 97
- symmetry = C2/c, No. 15

extended XYZ file:
```
18
Lattice="8.304 -5.839 0.000 8.304 5.839 0.000 -0.712 0.000 6.077" Properties=species:S:1:pos:R:3 pbc="T T T"
Nd 2.729 1.186 0.473
Nd 2.373 -1.186 3.511
Nd 13.523 1.186 2.566
Nd 13.167 -1.186 5.604
Dy 7.770 1.153 4.558
Dy 8.126 -1.153 1.519
Y 7.161 4.219 2.955
Y 4.338 1.572 3.925
Y 9.091 4.219 0.084
Y 6.263 1.615 1.092
Y 4.694 -1.572 0.886
Y 9.989 1.615 1.947
Y 5.907 -1.615 4.130
Y 11.202 1.572 5.191
Y 9.633 -1.615 4.985
Y 6.805 -4.219 5.993
Y 11.557 -1.572 2.152
Y 8.735 -4.219 3.122
```

=====

(9)
VASP calculation (PBE) on a relaxed structure of Nd4Dy6Y.

Computed properties:
- volume (Å³/cell) = 380
- electronic total energy (eV/cell) = -49.87
- ΔH_f (0 K) (meV/atom) = 298
- symmetry = I-42m, No. 121

extended XYZ file:
```
11
Lattice="-3.336 3.336 8.545 3.336 -3.336 8.545 3.336 3.336 -8.545" Properties=species:S:1:pos:R:3 pbc="T T T"
Nd 2.071 2.071 -3.013
Nd 1.265 -1.265 11.558
Nd 1.265 1.265 5.532
Nd -1.265 1.265 11.558
Dy 3.336 0.000 0.000
Dy 2.151 -2.151 6.415
Dy 1.184 1.184 2.130
Dy 0.000 3.336 0.000
Dy -2.151 2.151 6.415
Dy 2.151 2.151 10.675
Y 0.000 0.000 8.545
```

=====

(10)
VASP calculation (PBE) on a relaxed structure of Nd6Dy12Y.

Computed properties:
- volume (Å³/cell) = 647
- electronic total energy (eV/cell) = -86.24
- ΔH_f (0 K) (meV/atom) = 213
- symmetry = R-3m, No. 166

extended XYZ file:
```
19
Lattice="6.650 3.840 4.225 -6.650 3.840 4.225 0.000 -7.679 4.225" Properties=species:S:1:pos:R:3 pbc="T T T"
Nd -2.927 -1.690 5.703
Nd 0.000 -3.380 6.972
Nd -2.927 1.690 6.972
Nd 2.927 -1.690 5.703
Nd 0.000 3.380 5.703
Nd 2.927 1.690 6.972
Dy -1.710 -4.717 4.225
Dy -4.940 0.877 4.225
Dy 0.000 -2.100 2.985
Dy -1.819 1.050 2.985
Dy 1.710 -4.717 4.225
Dy -3.229 3.840 4.225
Dy 1.819 1.050 2.985
Dy -1.819 -1.050 9.690
Dy 4.940 0.877 4.225
Dy 3.229 3.840 4.225
Dy 1.819 -1.050 9.690
Dy 0.000 2.100 9.690
Y 0.000 0.000 6.338
```

=====

(11)
VASP calculation (PBE) on a relaxed structure of Nd5Dy3Y.

Computed properties:
- volume (Å³/cell) = 682
- electronic total energy (eV/cell) = -79.42
- ΔH_f (0 K) (meV/atom) = 489
- symmetry = C2/m, No. 12

extended XYZ file:
```
18
Lattice="5.985 -5.928 0.000 5.985 5.928 0.000 -2.665 0.000 9.610" Properties=species:S:1:pos:R:3 pbc="T T T"
Nd 3.243 2.963 3.420
Nd 1.777 0.000 4.015
Nd 5.985 3.001 0.000
Nd 2.752 0.000 0.804
Nd 6.062 2.963 6.190
Nd 3.243 -2.963 3.420
Nd 6.552 0.000 8.806
Nd 5.985 -3.001 0.000
Nd 7.528 0.000 5.595
Nd 6.062 -2.963 6.190
Dy -0.463 0.000 1.686
Dy -1.332 0.000 4.805
Dy 9.768 0.000 7.924
Dy 4.141 0.000 6.338
Dy 5.985 0.000 0.000
Dy 5.164 0.000 3.272
Y 1.100 0.000 7.377
Y 8.205 0.000 2.233
```

=====

(12)
VASP calculation (PBE) on a relaxed structure of Nd2Dy5Y.

Computed properties:
- volume (Å³/cell) = 525
- electronic total energy (eV/cell) = -75.42
- ΔH_f (0 K) (meV/atom) = 163
- symmetry = C2/c, No. 15

extended XYZ file:
```
16
Lattice="8.150 -4.954 0.000 8.150 4.954 0.000 -1.053 0.000 6.497" Properties=species:S:1:pos:R:3 pbc="T T T"
Nd 5.932 2.521 5.733
Nd 8.787 2.521 4.013
Nd 6.459 -2.521 2.485
Nd 9.314 -2.521 0.764
Dy 0.952 0.882 4.201
Dy 1.478 -0.882 0.952
Dy 4.419 0.873 3.088
Dy 3.892 -0.873 6.337
Dy 7.886 0.581 1.624
Dy 7.360 -0.581 4.873
Dy 11.354 0.873 0.161
Dy 10.827 -0.873 3.409
Dy 13.768 0.882 5.545
Dy 14.294 -0.882 2.297
Y 4.075 2.477 0.000
Y 3.548 -2.477 3.249
```

=====

> Which value of ΔH_f (0 K) does entry 2 give?

238 meV/atom